The following is a PBEsol calculation of an optimized crystal structure of TlOsNO2, from Alexandria.

Raw total energy   -0.1784 hartree per atom
Density of states at the Fermi level   3.202 states/eV per cell

a = 4.091 Å, b = 4.091 Å, c = 4.264 Å
α = 90.00°, β = 90.00°, γ = 90.00°
Fractional coordinates of all 5 atoms:
1 Tl 0.000 0.000 0.000
2 Os 0.500 0.500 0.500
3 N 0.000 0.000 0.500
4 O 0.000 0.500 0.000
5 O 0.500 0.000 0.000